Below is a crystal of Te2CSe relaxed with PBEsol, with properties calculated at the meta-GGA SCAN level.

Unit cell a=4.0615 b=4.0615 c=8.2201 alpha=75.70 beta=75.70 gamma=60.00
Fractional positions:
C: 0.0000 0.0000 0.0000
Te: 0.0826 0.0826 0.7523
Te: 0.9174 0.9174 0.2477
Se: 0.5000 0.5000 0.5000

Values from the calculation:
The space group is No. 166. The value obtained for the energy is -25.045 eV/atom. Its formation energy from raw total energies is 1.1248 eV per atom. The calculation puts the magnetization at 0.0 μB per formula unit.